No. 1
DFT (PBE-GGA) results for Na6In7Pb16 after structural relaxation.

abc: 10.9950 10.9950 10.9950
angles: 60.00 60.00 60.00
Sites, in units of the cell vectors:
In 0.5000 0.5000 0.0000
In 0.0000 0.5000 0.0000
Pb 0.3834 0.3834 0.8498
Pb 0.6166 0.1502 0.6166
Pb 0.3834 0.8498 0.3834
Pb 0.8498 0.3834 0.3834
In 0.0000 0.0000 0.5000
Pb 0.5061 0.1646 0.1646
Na 0.7845 0.2155 0.2155
Pb 0.3834 0.3834 0.3834
Na 0.7845 0.2155 0.7845
Pb 0.8354 0.8354 0.4939
In 0.5000 0.5000 0.5000
Na 0.2155 0.2155 0.7845
Pb 0.8354 0.4939 0.8354
Pb 0.6166 0.6166 0.6166
Pb 0.1646 0.1646 0.5061
Na 0.7845 0.7845 0.2155
Na 0.2155 0.7845 0.7845
Pb 0.1502 0.6166 0.6166
In 0.5000 0.0000 0.5000
In 0.5000 0.0000 0.0000
Pb 0.1646 0.1646 0.1646
Pb 0.1646 0.5061 0.1646
Pb 0.4939 0.8354 0.8354
Na 0.2155 0.7845 0.2155
In 0.0000 0.5000 0.5000
Pb 0.6166 0.6166 0.1502
Pb 0.8354 0.8354 0.8354

E_form = -0.018 eV per atom
space-group type = Fm-3m

No. 2
DFT (PBE-GGA) results for FeCuHg2 after structural relaxation.

abc: 4.0964 4.0964 9.7966
angles: 77.93 77.93 90.00
Each line ends with the local moment (μB).
Sites, in units of the cell vectors:
Hg 0.1226 0.6250 0.2500  -0.02
Fe 0.5000 0.5000 0.0000  3.00
Cu 0.7500 0.2500 0.5000  0.03
Hg 0.6274 0.1250 0.2500  -0.02
Fe 0.2500 0.7500 0.5000  3.00
Hg 0.3750 0.3726 0.7500  -0.01
Hg 0.8750 0.8774 0.7500  -0.01
Cu 0.0000 0.0000 0.0000  0.03

E_form = 0.620 eV per atom
space-group type = I-42d

No. 3
DFT (PBE-GGA) results for NdInGaAg after structural relaxation.

abc: 5.0579 5.0579 5.0579
angles: 60.00 60.00 60.00
Sites, in units of the cell vectors:
Ag 0.2500 0.2500 0.2500
Ga 0.7500 0.7500 0.7500
Nd 0.0000 0.0000 0.0000
In 0.5000 0.5000 0.5000

E_form = -0.361 eV per atom
space-group type = F-43m

No. 4
DFT (PBE-GGA) results for SbPt2Br after structural relaxation.

abc: 7.0352 7.0352 7.0352
angles: 33.70 33.70 33.70
Sites, in units of the cell vectors:
Pt 0.2533 0.2533 0.2533
Pt 0.9867 0.9867 0.9867
Sb 0.5355 0.5355 0.5355
Br 0.7245 0.7245 0.7245

uncorrected formation energy = -0.14 eV/atom
space-group type = R3m

No. 5
DFT (PBE-GGA) results for Na2Tl2CdIn4 after structural relaxation.

abc: 7.3388 7.3388 7.3388
angles: 84.56 123.19 123.19
Sites, in units of the cell vectors:
In 0.0000 0.7162 0.2838
Na 0.0000 0.2691 0.2691
Cd 0.0000 0.0000 0.0000
In 0.5675 0.2838 0.2838
Na 0.0000 0.7309 0.7309
Tl 0.5000 0.7500 0.2500
Tl 0.5000 0.2500 0.7500
In 0.4325 0.7162 0.7162
In 0.0000 0.2838 0.7162

E_form = 0.019 eV per atom
space-group type = I4/mmm

No. 6
DFT (PBE-GGA) results for CdIr2Os after structural relaxation.

abc: 2.7986 2.7986 8.0282
angles: 90.00 90.00 90.00
Sites, in units of the cell vectors:
Ir 0.0000 0.0000 0.4753
Ir 0.0000 0.0000 0.0247
Os 0.5000 0.5000 0.2500
Cd 0.5000 0.5000 0.7500

E_form = 0.074 eV per atom
space-group type = P4/mmm

No. 7
DFT (PBE-GGA) results for LiPm4Se5 after structural relaxation.

abc: 4.1741 4.1741 17.0634
angles: 82.97 82.97 60.00
Sites, in units of the cell vectors:
Se 0.1975 0.1975 0.4076
Pm 0.1027 0.1027 0.6918
Se 0.4018 0.4018 0.7946
Se 0.5982 0.5982 0.2054
Se 0.0000 0.0000 0.0000
Pm 0.7010 0.7010 0.8969
Se 0.8025 0.8025 0.5924
Li 0.5000 0.5000 0.5000
Pm 0.8973 0.8973 0.3082
Pm 0.2990 0.2990 0.1031

uncorrected formation energy = -1.77 eV/atom
space-group type = R-3m

No. 8
DFT (PBE-GGA) results for TmMg2Sc after structural relaxation.

abc: 5.1981 5.1981 5.1981
angles: 60.00 60.00 60.00
Sites, in units of the cell vectors:
Tm 0.0000 0.0000 0.0000
Sc 0.5000 0.5000 0.5000
Mg 0.2500 0.2500 0.2500
Mg 0.7500 0.7500 0.7500

E_form = -0.047 eV per atom
space-group type = Fm-3m